A plane-wave DFT calculation with PBE-GGA was carried out for crystalline Er3Cu2Au at its relaxed geometry.

a b c (Å): 4.9243 4.9243 12.1358
angles (deg): 90.00 90.00 120.00
Fractional positions:
1 Er 0.3333 0.6667 0.4158
2 Er 0.0000 0.0000 0.7551
3 Er 0.0000 0.0000 0.2449
4 Er 0.6667 0.3333 0.5842
5 Er 0.6667 0.3333 0.0798
6 Er 0.3333 0.6667 0.9202
7 Cu 0.0000 0.0000 0.0000
8 Cu 0.3333 0.6667 0.1610
9 Cu 0.0000 0.0000 0.5000
10 Cu 0.6667 0.3333 0.8390
11 Au 0.6667 0.3333 0.3326
12 Au 0.3333 0.6667 0.6674

Calculated values
Polymorph energy (0 for the lowest one) ... 0.000 eV/atom
Energy of formation from the pure elements ... -0.4796 eV per atom